A plane-wave DFT calculation with PBE-GGA was carried out for a geometry-optimized DyAgPbS3 structure.

Cell lengths 8.1415, 4.1747, 16.0619 Å; angles 90.00, 90.00, 90.00 degrees
Sites, in units of the cell vectors:
Dy (0.2398, 0.2500, 0.0369)
Dy (0.2602, 0.7500, 0.5369)
Dy (0.7398, 0.2500, 0.4631)
Dy (0.7602, 0.7500, 0.9631)
Ag (0.1244, 0.2500, 0.3653)
Ag (0.3756, 0.7500, 0.8653)
Ag (0.6244, 0.2500, 0.1347)
Ag (0.8756, 0.7500, 0.6347)
Pb (0.0858, 0.2500, 0.7698)
Pb (0.4142, 0.7500, 0.2698)
Pb (0.5858, 0.2500, 0.7302)
Pb (0.9142, 0.7500, 0.2302)
S (0.0354, 0.2500, 0.5878)
S (0.1150, 0.7500, 0.9477)
S (0.1797, 0.2500, 0.2071)
S (0.3203, 0.7500, 0.7071)
S (0.3850, 0.2500, 0.4477)
S (0.4646, 0.7500, 0.0878)
S (0.5354, 0.2500, 0.9122)
S (0.6150, 0.7500, 0.5523)
S (0.6797, 0.2500, 0.2929)
S (0.8203, 0.7500, 0.7929)
S (0.8850, 0.2500, 0.0523)
S (0.9646, 0.7500, 0.4122)

Calculated values
- Uncorrected energy: -4.9212 eV per atom
- Space group: Pnma
- Crystal system: orthorhombic
- Energy above the lowest structure with this stoichiometry: 25.2 kJ/mol of formula units
- ρ: 6.981 g/cm³
- Volume: 22.7 Å³/atom

A plane-wave DFT calculation with PBE-GGA was carried out for a geometry-optimized DyAgPbS3 structure.

Cell lengths 10.4710, 4.0338, 13.1702 Å; angles 90.00, 90.00, 90.00 degrees
Sites, in units of the cell vectors:
Dy (0.0198, 0.2500, 0.2396)
Dy (0.4802, 0.7500, 0.7396)
Dy (0.5198, 0.2500, 0.2604)
Dy (0.9802, 0.7500, 0.7604)
Ag (0.2339, 0.2500, 0.7182)
Ag (0.2661, 0.7500, 0.2182)
Ag (0.7339, 0.2500, 0.7818)
Ag (0.7661, 0.7500, 0.2818)
Pb (0.2162, 0.7500, 0.4978)
Pb (0.2838, 0.2500, 0.9978)
Pb (0.7162, 0.7500, 0.0022)
Pb (0.7838, 0.2500, 0.5022)
S (0.0317, 0.2500, 0.6158)
S (0.0751, 0.7500, 0.1071)
S (0.2345, 0.7500, 0.8389)
S (0.2655, 0.2500, 0.3389)
S (0.4249, 0.2500, 0.6071)
S (0.4683, 0.7500, 0.1158)
S (0.5317, 0.2500, 0.8842)
S (0.5751, 0.7500, 0.3929)
S (0.7345, 0.7500, 0.6611)
S (0.7655, 0.2500, 0.1611)
S (0.9249, 0.2500, 0.8929)
S (0.9683, 0.7500, 0.3842)

Calculated values
- Uncorrected energy: -4.9400 eV per atom
- Space group: Pnma
- Crystal system: orthorhombic
- Energy above the lowest structure with this stoichiometry: 14.3 kJ/mol of formula units
- ρ: 6.851 g/cm³
- Volume: 23.2 Å³/atom

A plane-wave DFT calculation with PBE-GGA was carried out for a geometry-optimized DyAgPbS3 structure.

Cell lengths 11.8804, 4.0899, 11.6814 Å; angles 90.00, 90.00, 90.00 degrees
Sites, in units of the cell vectors:
Dy (0.0272, 0.2500, 0.1678)
Dy (0.4728, 0.7500, 0.6678)
Dy (0.5272, 0.2500, 0.3322)
Dy (0.9728, 0.7500, 0.8322)
Ag (0.2438, 0.7500, 0.3133)
Ag (0.2562, 0.2500, 0.8133)
Ag (0.7438, 0.7500, 0.1867)
Ag (0.7562, 0.2500, 0.6867)
Pb (0.1628, 0.2500, 0.5196)
Pb (0.3372, 0.7500, 0.0196)
Pb (0.6628, 0.2500, 0.9804)
Pb (0.8372, 0.7500, 0.4804)
S (0.0322, 0.7500, 0.3410)
S (0.0864, 0.2500, 0.9332)
S (0.2432, 0.7500, 0.6711)
S (0.2568, 0.2500, 0.1711)
S (0.4136, 0.7500, 0.4332)
S (0.4678, 0.2500, 0.8410)
S (0.5322, 0.7500, 0.1590)
S (0.5864, 0.2500, 0.5668)
S (0.7432, 0.7500, 0.8289)
S (0.7568, 0.2500, 0.3289)
S (0.9136, 0.7500, 0.0668)
S (0.9678, 0.2500, 0.6590)

Calculated values
- Uncorrected energy: -4.9177 eV per atom
- Space group: Pnma
- Crystal system: orthorhombic
- Energy above the lowest structure with this stoichiometry: 27.2 kJ/mol of formula units
- ρ: 6.714 g/cm³
- Volume: 23.6 Å³/atom

A plane-wave DFT calculation with PBE-GGA was carried out for a geometry-optimized DyAgPbSe2S structure.

Cell lengths 7.1424, 7.1424, 10.4020 Å; angles 90.00, 90.00, 146.20 degrees
Sites, in units of the cell vectors:
Dy (0.0000, 0.0000, 0.0000)
Dy (0.0000, 0.0000, 0.5000)
Ag (0.4719, 0.5281, 0.7500)
Ag (0.5281, 0.4719, 0.2500)
Pb (0.2555, 0.7445, 0.2500)
Pb (0.7445, 0.2555, 0.7500)
Se (0.3553, 0.6447, 0.5508)
Se (0.3553, 0.6447, 0.9492)
Se (0.6447, 0.3553, 0.0508)
Se (0.6447, 0.3553, 0.4492)
S (0.0830, 0.9170, 0.7500)
S (0.9170, 0.0830, 0.2500)

Calculated values
- Uncorrected energy: -4.6923 eV per atom
- Space group: Cmcm
- Crystal system: orthorhombic
- ρ: 7.511 g/cm³
- Volume: 24.6 Å³/atom

A plane-wave DFT calculation with PBE-GGA was carried out for a geometry-optimized DyAgTe2PbS structure.

Cell lengths 7.6250, 7.6250, 10.4232 Å; angles 90.00, 90.00, 146.80 degrees
Sites, in units of the cell vectors:
Dy (0.0000, 0.0000, 0.0000)
Dy (0.0000, 0.0000, 0.5000)
Ag (0.4823, 0.5177, 0.7500)
Ag (0.5177, 0.4823, 0.2500)
Te (0.3514, 0.6486, 0.5539)
Te (0.3514, 0.6486, 0.9461)
Te (0.6486, 0.3514, 0.0539)
Te (0.6486, 0.3514, 0.4461)
Pb (0.2681, 0.7319, 0.2500)
Pb (0.7319, 0.2681, 0.7500)
S (0.0766, 0.9234, 0.7500)
S (0.9234, 0.0766, 0.2500)

Calculated values
- Uncorrected energy: -4.4032 eV per atom
- Space group: Cmcm
- Crystal system: orthorhombic
- ρ: 7.654 g/cm³
- Volume: 27.7 Å³/atom

A plane-wave DFT calculation with PBE-GGA was carried out for a geometry-optimized DyScAg2Pb2 structure.

Cell lengths 4.7645, 4.7645, 7.2743 Å; angles 90.00, 90.00, 120.00 degrees
Sites, in units of the cell vectors:
Dy (0.0000, 0.0000, 0.0000)
Sc (0.0000, 0.0000, 0.5012)
Ag (0.3333, 0.6667, 0.6839)
Ag (0.6667, 0.3333, 0.1942)
Pb (0.3333, 0.6667, 0.2863)
Pb (0.6667, 0.3333, 0.7727)

Calculated values
- Uncorrected energy: -4.3293 eV per atom
- Space group: P3m1
- Crystal system: trigonal
- ρ: 9.726 g/cm³
- Volume: 23.8 Å³/atom